Record 1
DFT (PBE) results for a relaxed RbSr2Br crystal.

It has space group R-3m (No. 166, hexagonal axes), with a = 4.2525 Å, b = 4.2525 Å, c = 39.4268 Å, α = 90.00°, β = 90.00° and γ = 120.00°. Symmetry generates all atoms from Rb at (0.0000, 0.0000, 0.0000), Sr at (0.0000, 0.0000, 0.1066) and Br at (0.0000, 0.0000, 0.5000).

As for the energy above the lowest structure with this stoichiometry: 0.0 meV per atom. For the density, the calculation gives 2.7 g/cm³.

Record 2
DFT (PBE) results for a relaxed RbSr2Br crystal.

It has space group I-42d (No. 122), with a = 8.061 Å, b = 8.061 Å, c = 18.692 Å, α = 90.00°, β = 90.00° and γ = 90.00°. Symmetry generates all atoms from Rb at (0.000, 0.000, 0.000), Sr at (0.017, 0.250, 0.625) and Br at (0.000, 0.000, 0.500).

As for the energy above the lowest structure with this stoichiometry: 183.1 meV per atom. For the density, the calculation gives 1.9 g/cm³.

Record 3
DFT (PBE) results for a relaxed RbSr2Br2 crystal.

It has space group P4/mbm (No. 127), with a = 11.158 Å, b = 11.158 Å, c = 3.982 Å, α = 90.00°, β = 90.00° and γ = 90.00°. Symmetry generates all atoms from Rb at (0.000, 0.000, 0.000), Sr at (0.127, 0.373, 0.500) and Br at (0.111, 0.611, 0.000).

As for the energy above the lowest structure with this stoichiometry: 240.3 meV per atom. For the density, the calculation gives 2.8 g/cm³.

Record 4
DFT (PBE) results for a relaxed RbSr2Br2 crystal.

It has space group I4/mmm (No. 139), with a = 5.616 Å, b = 5.616 Å, c = 14.824 Å, α = 90.00°, β = 90.00° and γ = 90.00°. Symmetry generates all atoms from Rb at (0.000, 0.000, 0.000), Sr at (0.000, 0.000, 0.359) and Br at (0.000, 0.500, 0.250).

As for the energy above the lowest structure with this stoichiometry: 0.0 meV per atom. For the density, the calculation gives 3.0 g/cm³.

Record 5
DFT (PBE) results for a relaxed Rb3SrBr6 crystal.

It has space group Cmc2_1 (No. 36), with a = 13.805 Å, b = 15.595 Å, c = 8.630 Å, α = 90.00°, β = 90.00° and γ = 90.00°. Symmetry generates all atoms from Rb at (0.000, 0.091, 0.000), Rb at (0.171, 0.401, 0.983), Sr at (0.000, 0.285, 0.439), Br at (0.000, 0.276, 0.779), Br at (0.000, 0.455, 0.294), Br at (0.162, 0.216, 0.253) and Br at (0.169, 0.007, 0.743).

As for the energy above the lowest structure with this stoichiometry: 0.0 meV per atom. For the density, the calculation gives 2.9 g/cm³.

Record 6
DFT (PBE) results for a relaxed Rb2SrBr3 crystal.

It has space group C2/c (No. 15), with a = 15.136 Å, b = 7.944 Å, c = 9.552 Å, α = 90.00°, β = 108.59° and γ = 90.00°. Symmetry generates all atoms from Rb at (0.163, 0.007, 0.081), Sr at (0.000, 0.499, 0.750), Br at (0.000, 0.117, 0.250) and Br at (0.144, 0.492, 0.573).

For the density, the calculation gives 3.0 g/cm³.

Record 7
DFT (PBE) results for a relaxed RbSr2Br4 crystal.

It has space group C2/m (No. 12), with a = 16.646 Å, b = 9.763 Å, c = 9.747 Å, α = 90.00°, β = 125.80° and γ = 90.00°. Symmetry generates all atoms from Rb at (0.124, 0.000, 0.374), Sr at (0.000, 0.500, 0.000), Sr at (0.000, 0.500, 0.500), Sr at (0.250, 0.250, 0.000), Br at (0.017, 0.294, 0.767), Br at (0.232, 0.500, 0.189) and Br at (0.232, 0.500, 0.776).

For the density, the calculation gives 3.0 g/cm³.

Record 8
DFT (PBE) results for a relaxed RbSr3Br7 crystal.

It has space group C2/m (No. 12), with a = 10.103 Å, b = 11.226 Å, c = 7.940 Å, α = 90.00°, β = 112.56° and γ = 90.00°. Symmetry generates all atoms from Rb at (0.000, 0.000, 0.000), Sr at (0.000, 0.272, 0.500), Sr at (0.000, 0.500, 0.000), Br at (0.000, 0.000, 0.500), Br at (0.145, 0.500, 0.732) and Br at (0.165, 0.289, 0.238).

For the density, the calculation gives 3.6 g/cm³.

Record 9
DFT (PBE) results for a relaxed Rb12Sr3Br5 crystal.

It has space group Ia-3d (No. 230), with a = 22.743 Å, b = 22.743 Å, c = 22.743 Å, α = 90.00°, β = 90.00° and γ = 90.00°. Symmetry generates all atoms from Rb at (0.039, 0.050, 0.642), Sr at (0.000, 0.250, 0.125), Br at (0.000, 0.000, 0.000) and Br at (0.000, 0.250, 0.375).

For the density, the calculation gives 1.9 g/cm³.

Record 10
DFT (PBE) results for a relaxed RbSr2Br2 crystal.

It has space group I4/mmm (No. 139), with a = 5.202 Å, b = 5.202 Å, c = 16.543 Å, α = 90.00°, β = 90.00° and γ = 90.00°. Symmetry generates all atoms from Rb at (0.000, 0.000, 0.000), Sr at (0.000, 0.500, 0.250) and Br at (0.000, 0.000, 0.384).

As for the energy above the lowest structure with this stoichiometry: 178.0 meV per atom. For the density, the calculation gives 3.1 g/cm³.

Record 11
DFT (PBE) results for a relaxed Rb2Sr2Br crystal.

It has space group P4/mbm (No. 127), with a = 8.817 Å, b = 8.817 Å, c = 8.285 Å, α = 90.00°, β = 90.00° and γ = 90.00°. Symmetry generates all atoms from Rb at (0.169, 0.331, 0.000), Sr at (0.172, 0.672, 0.500) and Br at (0.000, 0.000, 0.000).

As for the energy above the lowest structure with this stoichiometry: 71.3 meV per atom. For the density, the calculation gives 2.2 g/cm³.

Record 12
DFT (PBE) results for a relaxed Rb2SrTaBr6 crystal.

It has space group Fm-3m (No. 225), with a = 11.347 Å, b = 11.347 Å, c = 11.347 Å, α = 90.00°, β = 90.00° and γ = 90.00°. Symmetry generates all atoms from Rb at (0.250, 0.250, 0.250), Sr at (0.000, 0.000, 0.000), Ta at (0.000, 0.000, 0.500) and Br at (0.000, 0.000, 0.263).

For the density, the calculation gives 4.2 g/cm³.

Record 13
DFT (PBE) results for a relaxed RbSr2TbBr8 crystal.

It has space group P2/m (No. 10), with a = 6.934 Å, b = 9.553 Å, c = 7.198 Å, α = 90.00°, β = 90.17° and γ = 90.00°. Symmetry generates all atoms from Rb at (0.000, 0.000, 0.000), Sr at (0.500, 0.251, 0.500), Tb at (0.000, 0.500, 0.000), Br at (0.233, 0.291, 0.159), Br at (0.252, 0.500, 0.678) and Br at (0.266, 0.000, 0.621).

For the density, the calculation gives 3.7 g/cm³.

Record 14
DFT (PBE) results for a relaxed Rb2SrTcBr6 crystal.

It has space group Fm-3m (No. 225), with a = 11.137 Å, b = 11.137 Å, c = 11.137 Å, α = 90.00°, β = 90.00° and γ = 90.00°. Symmetry generates all atoms from Rb at (0.250, 0.250, 0.250), Sr at (0.000, 0.000, 0.000), Tc at (0.000, 0.000, 0.500) and Br at (0.000, 0.000, 0.268).

For the density, the calculation gives 4.0 g/cm³.

Record 15
DFT (PBE) results for a relaxed Rb2SrTeBr6 crystal.

It has space group I4/mmm (No. 139), with a = 8.125 Å, b = 8.125 Å, c = 13.828 Å, α = 90.00°, β = 90.00° and γ = 90.00°. Symmetry generates all atoms from Rb at (0.000, 0.500, 0.250), Sr at (0.000, 0.000, 0.000), Te at (0.000, 0.000, 0.500), Br at (0.000, 0.000, 0.215) and Br at (0.238, 0.238, 0.500).

For the density, the calculation gives 3.1 g/cm³.

Record 16
DFT (PBE) results for a relaxed RbSr2TiBr8 crystal.

It has space group P-1 (No. 2), with a = 6.758 Å, b = 7.029 Å, c = 9.396 Å, α = 89.98°, β = 89.95° and γ = 89.50°. Symmetry generates all atoms from Rb at (0.000, 0.000, 0.000), Sr at (0.500, 0.500, 0.257), Ti at (0.000, 0.000, 0.500), Br at (0.222, 0.849, 0.694), Br at (0.223, 0.849, 0.306), Br at (0.237, 0.310, 0.500) and Br at (0.263, 0.383, 0.000).

For the density, the calculation gives 3.5 g/cm³.

Record 17
DFT (PBE) results for a relaxed RbSrTiBr6 crystal.

It has space group P-31c (No. 163), with a = 7.4911 Å, b = 7.4911 Å, c = 14.6757 Å, α = 90.00°, β = 90.00° and γ = 120.00°. Symmetry generates all atoms from Rb at (0.0000, 0.0000, 0.0000), Sr at (0.3333, 0.6667, 0.2500), Ti at (0.3333, 0.6667, 0.7500) and Br at (0.0452, 0.3905, 0.6451).

For the density, the calculation gives 3.3 g/cm³.

Record 18
DFT (PBE) results for a relaxed Rb2SrTiBr6 crystal.

It has space group Fm-3m (No. 225), with a = 11.331 Å, b = 11.331 Å, c = 11.331 Å, α = 90.00°, β = 90.00° and γ = 90.00°. Symmetry generates all atoms from Rb at (0.250, 0.250, 0.250), Sr at (0.000, 0.000, 0.000), Ti at (0.000, 0.000, 0.500) and Br at (0.000, 0.000, 0.264).

For the density, the calculation gives 3.6 g/cm³.

Record 19
DFT (PBE) results for a relaxed Rb2SrTlBr6 crystal.

It has space group Fm-3m (No. 225), with a = 11.907 Å, b = 11.907 Å, c = 11.907 Å, α = 90.00°, β = 90.00° and γ = 90.00°. Symmetry generates all atoms from Rb at (0.250, 0.250, 0.250), Sr at (0.000, 0.000, 0.000), Tl at (0.000, 0.000, 0.500) and Br at (0.000, 0.000, 0.252).

As for the energy above the lowest structure with this stoichiometry: 50.2 meV per atom. For the density, the calculation gives 3.7 g/cm³.

| no. | formation energy (no corrections) (meV per atom) | VASP energy (eV/f.u.) |
| --- | --- | --- |
| 1 | -596 | -8.39 |
| 2 | -413 | -7.66 |
| 3 | -893 | -12.14 |
| 4 | -1133 | -13.34 |
| 5 | -1552 | -30.14 |
| 6 | -1583 | -18.13 |
| 7 | -1777 | -23.46 |
| 8 | -2036 | -40.12 |
| 9 | -635 | -37.72 |
| 10 | -955 | -12.45 |
| 11 | -359 | -8.77 |
| 12 | -1304 | -38.54 |
| 13 | -1955 | -45.81 |
| 14 | -1236 | -36.38 |
| 15 | -1292 | -29.71 |
| 16 | -1683 | -45.81 |
| 17 | -1616 | -35.12 |
| 18 | -1598 | -37.53 |
| 19 | -1439 | -30.41 |